{"formula": "K2ZrCo", "functional": "PBE", "state": "optimized geometry", "lattice_angstrom": [[3.5180, 0.0000, 0.0000], [0.0000, 3.6257, 0.0367], [0.0000, 1.6036, 10.6741]], "species": ["Co", "K", "K", "Zr"], "fractional_positions": [[0.5000, 0.9921, 0.6369], [0.0000, 0.8565, 0.9280], [0.5000, 0.1496, 0.3184], [0.0000, 0.5018, 0.6166]], "formation_energy_ev_per_atom": 0.40, "space_group": "Pm, No. 6"}



{"formula": "LaSm4Er4", "functional": "PBE", "state": "optimized geometry", "lattice_angstrom": [[1.3942, -0.3073, -10.6805], [-5.6115, -2.6467, 7.1961], [-8.5440, 6.5007, -0.7195]], "species": ["La", "La", "Sm", "Sm", "Sm", "Sm", "Sm", "Sm", "Sm", "Sm", "Er", "Er", "Er", "Er", "Er", "Er", "Er", "Er"], "fractional_positions": [[0.4468, 0.3627, 0.8030], [0.5532, 0.6373, 0.1970], [0.3333, 0.0799, 0.4181], [0.2237, 0.8056, 0.0288], [0.8904, 0.9753, 0.8586], [0.9992, 0.2511, 0.2513], [0.0008, 0.7489, 0.7487], [0.1096, 0.0247, 0.1414], [0.7763, 0.1944, 0.9712], [0.6667, 0.9201, 0.5819], [0.1129, 0.5297, 0.6371], [0.4423, 0.8612, 0.3079], [0.2190, 0.3037, 0.5279], [0.3310, 0.5843, 0.9140], [0.7810, 0.6963, 0.4721], [0.6690, 0.4157, 0.0860], [0.8871, 0.4703, 0.3629], [0.5577, 0.1388, 0.6921]], "formation_energy_ev_per_atom": 0.02, "space_group": "P-1, No. 2"}



{"formula": "PrDyLuPb", "functional": "PBE", "state": "optimized geometry", "lattice_angstrom": [[-5.2272, -1.5058, -1.0042], [-1.0516, -4.7269, -2.6739], [-2.2157, -4.2798, 2.7154]], "species": ["Pb", "Pr", "Lu", "Dy"], "fractional_positions": [[0.0000, 0.0000, 0.0000], [0.2500, 0.2500, 0.2500], [0.5000, 0.5000, 0.5000], [0.7500, 0.7500, 0.7500]], "formation_energy_ev_per_atom": -0.13, "space_group": "F-43m, No. 216"}



{"formula": "Tl2GaPdAu", "functional": "PBE", "state": "optimized geometry", "lattice_angstrom": [[-1.7446, 0.4668, 5.1940], [2.0273, -4.2720, 1.0649], [4.6803, 2.5556, 1.3424]], "species": ["Tl", "Tl", "Au", "Ga", "Pd"], "fractional_positions": [[0.0000, 0.0000, 0.5000], [0.5000, 0.0000, 0.0000], [0.0000, 0.0000, 0.0000], [0.0000, 0.5000, 0.0000], [0.5000, 0.5000, 0.5000]], "formation_energy_ev_per_atom": 0.43, "space_group": "P4/mmm, No. 123"}



{"formula": "Ti2GePb2", "functional": "PBE", "state": "optimized geometry", "lattice_angstrom": [[6.8623, 0.0000, 0.0000], [0.0000, 6.8623, 0.0000], [0.0000, 0.0000, 4.5245]], "species": ["Pb", "Pb", "Pb", "Pb", "Ge", "Ge", "Ti", "Ti", "Ti", "Ti"], "fractional_positions": [[0.1645, 0.6645, 0.5000], [0.6645, 0.8355, 0.5000], [0.8355, 0.3355, 0.5000], [0.3355, 0.1645, 0.5000], [0.0000, 0.0000, 0.0000], [0.5000, 0.5000, 0.0000], [0.3494, 0.8494, 0.0000], [0.8494, 0.6506, 0.0000], [0.6506, 0.1506, 0.0000], [0.1506, 0.3494, 0.0000]], "formation_energy_ev_per_atom": -0.08, "space_group": "P4/mbm, No. 127"}



{"formula": "LiHgAs", "functional": "PBE", "state": "optimized geometry", "lattice_angstrom": [[-5.3508, -3.6831, 2.1749], [-5.0464, -4.5816, -0.6698], [1.2887, -2.5368, 0.9464]], "species": ["As", "Hg", "Li"], "fractional_positions": [[0.0217, 0.0217, 0.9783], [0.3199, 0.3199, 0.6801], [0.6584, 0.6584, 0.3416]], "formation_energy_ev_per_atom": -0.20, "space_group": "Fmm2, No. 42"}



{"formula": "Ce3S2O3", "functional": "PBE", "state": "optimized geometry", "lattice_angstrom": [[-0.7115, 0.4194, -3.8830], [4.3916, -5.0686, -1.3522], [-16.0545, -14.2833, 1.3989]], "species": ["Ce", "Ce", "Ce", "Ce", "Ce", "Ce", "Ce", "Ce", "Ce", "Ce", "Ce", "Ce", "S", "S", "S", "S", "S", "S", "S", "S", "O", "O", "O", "O", "O", "O", "O", "O", "O", "O", "O", "O"], "fractional_positions": [[0.7500, 0.7223, 0.4738], [0.2500, 0.2777, 0.5262], [0.7500, 0.2223, 0.0262], [0.2500, 0.7777, 0.9738], [0.7500, 0.7837, 0.1329], [0.2500, 0.2162, 0.8671], [0.7500, 0.2838, 0.3671], [0.2500, 0.7163, 0.6329], [0.7500, 0.7907, 0.8127], [0.2500, 0.2093, 0.1873], [0.7500, 0.2907, 0.6873], [0.2500, 0.7093, 0.3127], [0.7500, 0.5028, 0.2297], [0.2500, 0.4972, 0.7703], [0.7500, 0.0028, 0.2703], [0.2500, 0.9972, 0.7297], [0.7500, 0.0056, 0.5783], [0.2500, 0.9944, 0.4217], [0.7500, 0.5056, 0.9217], [0.2500, 0.4944, 0.0783], [0.7500, 0.6415, 0.3724], [0.2500, 0.3585, 0.6276], [0.7500, 0.1415, 0.1276], [0.2500, 0.8585, 0.8724], [0.7500, 0.8720, 0.0249], [0.2500, 0.1280, 0.9751], [0.7500, 0.3720, 0.4751], [0.2500, 0.6280, 0.5249], [0.7500, 0.6166, 0.6629], [0.2500, 0.3834, 0.3371], [0.7500, 0.1166, 0.8371], [0.2500, 0.8834, 0.1629]], "formation_energy_uncorrected_kcal_per_mol_atoms": -67.9, "space_group": "Pnma, No. 62"}



{"formula": "Cr2SiW", "functional": "PBE", "state": "optimized geometry", "lattice_angstrom": [[-4.7033, 0.5796, -0.8744], [1.3922, -4.2841, 1.8307], [-0.8564, 0.1988, 2.4998]], "species": ["Cr", "Cr", "Si", "W"], "fractional_positions": [[0.0000, 0.0000, 0.0000], [0.5000, 0.0000, 0.5000], [0.0000, 0.5000, 0.5000], [0.5000, 0.5000, 0.0000]], "formation_energy_uncorrected_kcal_per_mol_atoms": 1.5, "space_group": "C2/m, No. 12"}



{"formula": "LiSiIr2", "functional": "PBE", "state": "optimized geometry", "lattice_angstrom": [[5.0307, 0.0113, 0.0019], [2.0956, 4.5734, -0.0019], [-2.9167, -3.2971, 2.4350]], "species": ["Ir", "Ir", "Li", "Si"], "fractional_positions": [[0.0302, 0.0302, 0.0000], [0.4698, 0.4698, 0.0000], [0.7500, 0.2500, 0.5000], [0.2500, 0.7500, 0.5000]], "formation_energy_uncorrected_kcal_per_mol_atoms": -8.4, "space_group": "Immm, No. 71"}



{"formula": "MgReSeN2", "functional": "PBE", "state": "optimized geometry", "lattice_angstrom": [[3.8450, 0.0000, 0.0000], [0.0000, 3.8450, 0.0000], [0.0000, 0.0000, 5.5175]], "species": ["Re", "Mg", "Se", "N", "N"], "fractional_positions": [[0.0000, 0.0000, 0.0000], [0.5000, 0.5000, 0.5000], [0.0000, 0.0000, 0.5000], [0.0000, 0.5000, 0.0000], [0.5000, 0.0000, 0.0000]], "formation_energy_uncorrected_kcal_per_mol_atoms": 1.2, "space_group": "P4/mmm, No. 123"}



{"formula": "VFe8Co2", "functional": "PBE", "state": "optimized geometry", "lattice_angstrom": [[4.0915, 0.2171, -0.7350], [-1.7107, 4.7252, -2.3831], [-0.4240, 0.3833, 6.6686]], "species": ["V", "Fe", "Fe", "Fe", "Fe", "Fe", "Fe", "Fe", "Fe", "Co", "Co"], "fractional_positions": [[0.5000, 0.0000, 0.0000], [0.1858, 0.3447, 0.2296], [0.9562, 0.1150, 0.7704], [0.7013, 0.3930, 0.0000], [0.7031, 0.2031, 0.4062], [0.2969, 0.7969, 0.5938], [0.2987, 0.6070, 0.0000], [0.0438, 0.8850, 0.2296], [0.8142, 0.6553, 0.7704], [0.6965, 0.6965, 0.3930], [0.3035, 0.3035, 0.6070]], "formation_energy_ev_per_atom": 0.27, "space_group": "C2/m, No. 12"}



{"formula": "YPtN2", "functional": "PBE", "state": "optimized geometry", "lattice_angstrom": [[0.0000, 2.9171, 2.9171], [2.9171, 0.0000, 2.9171], [2.9171, 2.9171, 0.0000]], "species": ["Y", "Pt", "N", "N"], "fractional_positions": [[0.0000, 0.0000, 0.0000], [0.5000, 0.5000, 0.5000], [0.2500, 0.2500, 0.2500], [0.7500, 0.7500, 0.7500]], "formation_energy_uncorrected_kcal_per_mol_atoms": 5.6, "space_group": "Fm-3m, No. 225"}